Ba2IrBr (PBE-GGA, optimized geometry); ρ = 6.4 g cm⁻³; space group = P4mm; energy above the lowest structure with this stoichiometry = 0.407 eV/f.u.; energy relative to the elements, uncorrected = -72.88 kJ per mole of atoms
1.0
4.668 0.000 0.000
0.000 4.667 0.000
0.000 0.000 6.493
Ba Br Ir
2 1 1
direct
0.000 0.000 0.880 Ba
0.500 0.500 0.339 Ba
0.000 0.000 0.382 Br
0.500 0.500 0.899 Ir


Li2NdSm2Pb2 (PBE-GGA, optimized geometry); ρ = 7.6 g cm⁻³; space group = R-3m
1.0
4.889 0.000 0.000
2.445 4.234 0.000
2.445 1.411 9.238
Pb Sm Nd Li
2 2 1 2
direct
0.737 0.737 0.790 Pb
0.263 0.263 0.210 Pb
0.130 0.130 0.611 Sm
0.870 0.870 0.389 Sm
0.000 0.000 0.000 Nd
0.406 0.406 0.782 Li
0.594 0.594 0.218 Li


SrCdSn2Hg (PBE-GGA, optimized geometry); ρ = 7.1 g cm⁻³; space group = I-4m2
1.0
-2.706 3.770 1.686
-1.847 0.698 -4.525
-2.278 -6.069 2.686
Cd Sn Hg Sr
1 2 1 1
direct
0.750 0.250 0.500 Cd
0.617 0.617 0.234 Sn
0.383 0.383 0.766 Sn
0.250 0.750 0.500 Hg
0.000 0.000 0.000 Sr


TlAs2Cl (PBE-GGA, optimized geometry); ρ = 6.1 g cm⁻³; space group = Cmmm; energy above the lowest structure with this stoichiometry = 2.321 eV/f.u.; energy relative to the elements, uncorrected = 20.76 kJ per mole of atoms
1.0
-0.410 7.143 1.525
-4.339 -5.845 0.720
1.103 -0.496 2.620
As Tl Cl
2 1 1
direct
0.000 0.000 0.000 As
0.500 0.500 0.000 As
0.000 0.500 0.500 Tl
0.500 0.000 0.500 Cl


IrRuAu2 (PBE-GGA, optimized geometry); ρ = 17.6 g cm⁻³; space group = P4/mmm; energy above the lowest structure with this stoichiometry = 1.767 eV/f.u.
1.0
-3.305 -0.412 -0.040
0.413 -3.303 -0.106
-0.047 -0.193 5.832
Ru Ir Au
1 1 2
direct
0.500 0.500 0.750 Ru
0.500 0.500 0.250 Ir
0.000 0.000 0.999 Au
0.000 0.000 0.501 Au


PrScZnSi (PBE-GGA, optimized geometry); ρ = 5.4 g cm⁻³; space group = F-43m; energy relative to the elements, uncorrected = -39.51 kJ per mole of atoms
1.0
4.950 0.000 0.000
2.475 4.287 0.000
2.475 1.429 4.042
Si Pr Zn Sc
1 1 1 1
direct
0.750 0.750 0.750 Si
0.000 0.000 0.000 Pr
0.250 0.250 0.250 Zn
0.500 0.500 0.500 Sc


SmTh3 (PBE-GGA, optimized geometry); ρ = 10.8 g cm⁻³; space group = Pm-3m; energy above the lowest structure with this stoichiometry = 0.083 eV/f.u.
1.0
5.066 0.000 0.000
0.000 5.066 0.000
0.000 0.000 5.066
Th Sm
3 1
direct
0.000 0.500 0.500 Th
0.500 0.500 0.000 Th
0.500 0.000 0.500 Th
0.000 0.000 0.000 Sm


ScBiS2 (PBE-GGA, optimized geometry); ρ = 4.7 g cm⁻³; space group = P3m1; energy relative to the elements, uncorrected = -77.69 kJ per mole of atoms
1.0
3.275 -1.891 0.000
0.000 3.782 0.000
0.000 0.000 9.144
S Sc Bi
2 1 1
direct
0.333 0.667 0.725 S
0.667 0.333 0.338 S
0.333 0.667 0.461 Sc
0.000 0.000 0.931 Bi


| no. | energy (eV/atom) | M_tot (μB/f.u.) |
| --- | --- | --- |
| 1 | -4.35 | 0.000 |
| 2 | -3.98 | 0.000 |
| 3 | -2.48 | 0.000 |
| 4 | -3.16 | 0.000 |
| 5 | -5.57 | 1.002 |
| 6 | -4.86 | 0.000 |
| 7 | -6.67 | 0.000 |
| 8 | -5.42 | 0.004 |